Computed, not measured: a geometry-optimized LaDySbF2 structure at the GGA-PBE level of DFT.

Cell: 4.146 4.146 7.193 Å, 90.00 90.00 120.00°
Atoms (fractional coordinates):
La: 0.000 0.000 0.000
Dy: 0.667 0.333 0.466
Sb: 0.333 0.667 0.718
F: 0.000 0.000 0.346
F: 0.667 0.333 0.148

Electronic total energy ... -30.044 eV per cell